# CuRe2Pt

CuRe2Pt after structural relaxation (GGA-PBE, Alexandria).

The total magnetization comes out at 0.000 μB/atom. The formation enthalpy at 0 K is 0.55 eV/atom.

It has space group Fm-3m (No. 225), with a = 6.1635 Å, b = 6.1635 Å, c = 6.1635 Å, α = 90.00°, β = 90.00° and γ = 90.00°. Symmetry generates all atoms from Cu at (0.0000, 0.0000, 0.0000), Re at (0.2500, 0.2500, 0.2500) and Pt at (0.0000, 0.0000, 0.5000).

---

# CuRePt2

CuRePt2 after structural relaxation (GGA-PBE, Alexandria).

The total magnetization comes out at 0.000 μB/atom. The formation enthalpy at 0 K is 0.00 eV/atom.

It has space group P4mm (No. 99), with a = 2.7518 Å, b = 2.7518 Å, c = 7.7033 Å, α = 90.00°, β = 90.00° and γ = 90.00°. Symmetry generates all atoms from Cu at (0.0000, 0.0000, 0.0000), Re at (0.5000, 0.5000, 0.7591), Pt at (0.0000, 0.0000, 0.5140) and Pt at (0.5000, 0.5000, 0.2380).

---

# CuRePt2

CuRePt2 after structural relaxation (GGA-PBE, Alexandria).

The total magnetization comes out at 0.150 μB/atom. The formation enthalpy at 0 K is 0.10 eV/atom.

It has space group P4/mmm (No. 123), with a = 4.7132 Å, b = 4.7132 Å, c = 2.7111 Å, α = 90.00°, β = 90.00° and γ = 90.00°. Symmetry generates all atoms from Cu at (0.0000, 0.0000, 0.0000), Re at (0.5000, 0.5000, 0.0000) and Pt at (0.0000, 0.5000, 0.5000).

---

# CuRePt2

CuRePt2 after structural relaxation (GGA-PBE, Alexandria).

The total magnetization comes out at 0.000 μB/atom. The formation enthalpy at 0 K is 0.14 eV/atom.

It has space group Imm2 (No. 44), with a = 2.7749 Å, b = 4.5687 Å, c = 9.3004 Å, α = 90.00°, β = 90.00° and γ = 90.00°. Symmetry generates all atoms from Cu at (0.0000, 0.0000, 0.0000), Re at (0.0000, 0.5000, 0.2719), Pt at (0.0000, 0.0000, 0.5116) and Pt at (0.0000, 0.5000, 0.7302).

---

# CuRe2Pt

CuRe2Pt after structural relaxation (GGA-PBE, Alexandria).

The total magnetization comes out at 0.000 μB/atom. The formation enthalpy at 0 K is 0.10 eV/atom.

It has space group Cm (No. 8), with a = 9.0983 Å, b = 2.6563 Å, c = 4.8642 Å, α = 90.00°, β = 97.95° and γ = 90.00°. Symmetry generates all atoms from Cu at (0.0000, 0.0000, 0.0000), Re at (0.0069, 0.5000, 0.4908), Re at (0.2490, 0.5000, 0.2678) and Pt at (0.2477, 0.0000, 0.7755).

---

# CuRe2Pt

CuRe2Pt after structural relaxation (GGA-PBE, Alexandria).

The total magnetization comes out at 0.000 μB/atom. The formation enthalpy at 0 K is 0.14 eV/atom.

It has space group I4/mmm (No. 139), with a = 3.7382 Å, b = 3.7382 Å, c = 8.2493 Å, α = 90.00°, β = 90.00° and γ = 90.00°. Symmetry generates all atoms from Cu at (0.0000, 0.0000, 0.0000), Re at (0.0000, 0.5000, 0.2500) and Pt at (0.0000, 0.0000, 0.5000).